The following is a DFT calculation (GGA-PBE) of Nb2TcPdN after structural relaxation.

Total moment = 0.00 μB/atom
E_form (uncorrected) = -0.43 eV per atom

Unit cell a=4.246 b=4.246 c=4.046 alpha=90.00 beta=90.00 gamma=90.00
Sites, in units of the cell vectors:
Nb 0.000 0.500 0.000
Nb 0.500 0.000 0.000
Tc 0.000 0.000 0.500
Pd 0.500 0.500 0.500
N 0.000 0.000 0.000

***

The following is a DFT calculation (GGA-PBE) of Re4TcSe after structural relaxation.

Total moment = 0.00 μB/atom
E_form (uncorrected) = 0.83 eV per atom

Unit cell a=5.191 b=5.191 c=5.191 alpha=60.00 beta=60.00 gamma=60.00
Sites, in units of the cell vectors:
Re 0.125 0.125 0.125
Re 0.125 0.125 0.626
Re 0.125 0.626 0.125
Re 0.626 0.125 0.125
Tc 0.500 0.500 0.500
Se 0.750 0.750 0.750

***

The following is a DFT calculation (GGA-PBE) of Mg2AlTc after structural relaxation.

Total moment = 0.00 μB/atom
Calculated formation energy = 0.043 eV per atom

Unit cell a=9.370 b=2.788 c=5.230 alpha=90.00 beta=96.59 gamma=90.00
Sites, in units of the cell vectors:
Mg 0.000 0.000 0.000
Mg 0.238 0.000 0.738
Mg 0.500 0.500 0.000
Mg 0.738 0.500 0.738
Al 0.254 0.500 0.276
Al 0.754 0.000 0.276
Tc 0.491 0.000 0.484
Tc 0.991 0.500 0.484

***

The following is a DFT calculation (GGA-PBE) of SrCr2Cu after structural relaxation.

Energy above the most stable polymorph in this dataset = 587 meV/atom
Total moment = 2.03 μB/atom
Calculated formation energy = 1.009 eV per atom

Unit cell a=5.954 b=10.186 c=3.156 alpha=90.00 beta=118.69 gamma=90.00
Sites, in units of the cell vectors:
Sr 0.000 0.000 0.000
Sr 0.500 0.500 0.000
Cr 0.250 0.250 0.500
Cr 0.250 0.750 0.500
Cr 0.750 0.250 0.500
Cr 0.750 0.750 0.500
Cu 0.000 0.500 0.000
Cu 0.500 0.000 0.000

***

The following is a DFT calculation (GGA-PBE) of LiRe2P after structural relaxation.

Total moment = 0.00 μB/atom
Calculated formation energy = 0.347 eV per atom

Unit cell a=2.943 b=4.710 c=8.367 alpha=90.00 beta=90.00 gamma=90.00
Sites, in units of the cell vectors:
Li 0.000 0.000 0.000
Li 0.500 0.500 0.000
Re 0.000 0.500 0.279
Re 0.000 0.500 0.721
Re 0.500 0.000 0.279
Re 0.500 0.000 0.721
P 0.000 0.000 0.500
P 0.500 0.500 0.500

***

The following is a DFT calculation (GGA-PBE) of CaGa2Pt8 after structural relaxation.

Total moment = 0.00 μB/atom
Calculated formation energy = -0.176 eV per atom

Unit cell a=5.302 b=5.302 c=8.402 alpha=90.00 beta=90.00 gamma=90.00
Sites, in units of the cell vectors:
Ca 0.000 0.000 0.000
Ga 0.000 0.500 0.500
Ga 0.500 0.000 0.500
Pt 0.252 0.252 0.284
Pt 0.252 0.252 0.716
Pt 0.252 0.748 0.284
Pt 0.252 0.748 0.716
Pt 0.748 0.252 0.284
Pt 0.748 0.252 0.716
Pt 0.748 0.748 0.284
Pt 0.748 0.748 0.716